Record 1
Below is crystalline BaCaGa4 at its relaxed geometry, with properties calculated at the PBE level.

Cell and atoms, written as POSCAR:
```
BaCaGa4
1.0
-2.180 3.794 4.857
2.180 -3.794 4.857
2.180 3.794 -4.857
Ba Ca Ga
1 1 4
direct
0.000 0.000 0.000
0.500 0.500 0.000
0.088 0.754 0.334
0.420 0.754 0.666
0.580 0.246 0.334
0.912 0.246 0.666
```

## Properties
VASP energy   -18.72 eV for the cell shown
Space group   No. 71
Offset from the most stable computed form   0.07 eV/f.u.
Energy relative to the elements   -0.45 eV per atom
N(E_F)   0.605 states/eV/atom
Crystal system   orthorhombic

Record 2
Below is crystalline BaCa2Ga at its relaxed geometry, with properties calculated at the PBE level.

Cell and atoms, written as POSCAR:
```
BaCa2Ga
1.0
-3.389 3.389 9.421
3.389 -3.389 9.421
3.389 3.389 -9.421
Ba Ca Ga
2 4 2
direct
0.000 0.000 0.000
0.750 0.250 0.500
0.371 0.625 0.246
0.375 0.621 0.746
0.379 0.125 0.754
0.875 0.629 0.254
0.250 0.750 0.500
0.500 0.500 0.000
```

## Properties
VASP energy   -15.39 eV for the cell shown
Space group   No. 122
Energy relative to the elements   0.31 eV per atom
N(E_F)   1.671 states/eV/atom
Crystal system   tetragonal

Record 3
Below is crystalline Ba2CaGa at its relaxed geometry, with properties calculated at the PBE level.

Cell and atoms, written as POSCAR:
```
Ba2CaGa
1.0
2.046 1.181 13.638
-2.046 1.181 13.638
0.000 -2.362 13.638
Ba Ca Ga
2 1 1
direct
0.083 0.083 0.083
0.917 0.917 0.917
0.500 0.500 0.500
0.000 0.000 0.000
```

## Properties
VASP energy   -7.64 eV for the cell shown
Space group   No. 166
Energy relative to the elements   0.31 eV per atom
N(E_F)   1.722 states/eV/atom
Crystal system   trigonal

Record 4
Below is crystalline BaCaGa at its relaxed geometry, with properties calculated at the PBE level.

Cell and atoms, written as POSCAR:
```
BaCaGa
1.0
5.449 0.000 0.000
-2.724 4.719 0.000
0.000 0.000 4.283
Ba Ca Ga
1 1 1
direct
0.000 0.000 0.000
0.667 0.333 0.499
0.333 0.667 0.504
```

## Properties
VASP energy   -7.39 eV for the cell shown
Space group   No. 156
Offset from the most stable computed form   0.41 eV/f.u.
Energy relative to the elements   -0.14 eV per atom
N(E_F)   1.446 states/eV/atom
Crystal system   trigonal

Record 5
Below is crystalline BaCa2Ga at its relaxed geometry, with properties calculated at the PBE level.

Cell and atoms, written as POSCAR:
```
BaCa2Ga
1.0
2.624 -6.521 0.000
2.624 6.521 0.000
0.000 0.000 8.921
Ba Ca Ga
2 4 2
direct
0.053 0.947 0.750
0.947 0.053 0.250
0.339 0.661 0.552
0.339 0.661 0.948
0.661 0.339 0.052
0.661 0.339 0.448
0.214 0.786 0.250
0.786 0.214 0.750
```

## Properties
VASP energy   -19.76 eV for the cell shown
Space group   No. 63
Energy relative to the elements   -0.23 eV per atom
N(E_F)   1.026 states/eV/atom
Crystal system   orthorhombic

Record 6
Below is crystalline BaCa2Ga at its relaxed geometry, with properties calculated at the PBE level.

Cell and atoms, written as POSCAR:
```
BaCa2Ga
1.0
2.653 1.532 6.579
-2.653 1.532 6.579
0.000 -3.064 6.579
Ba Ca Ga
1 2 1
direct
0.000 0.000 0.000
0.208 0.208 0.208
0.455 0.455 0.455
0.822 0.822 0.822
```

## Properties
VASP energy   -9.47 eV for the cell shown
Space group   No. 160
Energy relative to the elements   -0.13 eV per atom
N(E_F)   0.827 states/eV/atom
Crystal system   trigonal

Record 7
Below is crystalline Ba2CaGa at its relaxed geometry, with properties calculated at the PBE level.

Cell and atoms, written as POSCAR:
```
Ba2CaGa
1.0
5.972 0.000 0.000
0.000 5.972 0.000
0.000 0.000 4.593
Ba Ca Ga
2 1 1
direct
0.000 0.500 0.000
0.500 0.000 0.000
0.000 0.000 0.500
0.500 0.500 0.500
```

## Properties
VASP energy   -9.14 eV for the cell shown
Space group   No. 123
Energy relative to the elements   -0.07 eV per atom
N(E_F)   0.747 states/eV/atom
Crystal system   tetragonal

Record 8
Below is crystalline BaCaGa at its relaxed geometry, with properties calculated at the PBE level.

Cell and atoms, written as POSCAR:
```
BaCaGa
1.0
5.166 0.000 0.000
0.000 5.166 0.000
0.000 0.000 8.285
Ba Ca Ga
2 2 2
direct
0.250 0.250 0.133
0.750 0.750 0.867
0.250 0.750 0.500
0.750 0.250 0.500
0.250 0.250 0.723
0.750 0.750 0.277
```

## Properties
VASP energy   -15.56 eV for the cell shown
Space group   No. 129
Offset from the most stable computed form   0.01 eV/f.u.
Energy relative to the elements   -0.28 eV per atom
N(E_F)   1.871 states/eV/atom
Crystal system   tetragonal

Record 9
Below is crystalline BaCa2Ga at its relaxed geometry, with properties calculated at the PBE level.

Cell and atoms, written as POSCAR:
```
BaCa2Ga
1.0
19.432 0.000 0.000
0.000 8.940 0.000
0.000 0.000 7.006
Ba Ca Ga
8 16 8
direct
0.103 0.250 0.213
0.134 0.750 0.047
0.366 0.250 0.547
0.397 0.750 0.713
0.603 0.250 0.287
0.634 0.750 0.453
0.866 0.250 0.953
0.897 0.750 0.787
0.042 0.052 0.717
0.042 0.448 0.717
0.210 0.551 0.526
0.210 0.949 0.526
0.290 0.051 0.026
0.290 0.449 0.026
0.458 0.552 0.217
0.458 0.948 0.217
0.542 0.052 0.783
0.542 0.448 0.783
0.710 0.551 0.974
0.710 0.949 0.974
0.790 0.051 0.474
0.790 0.449 0.474
0.958 0.552 0.283
0.958 0.948 0.283
0.071 0.750 0.511
0.184 0.250 0.761
0.316 0.750 0.261
0.429 0.250 0.011
0.571 0.750 0.989
0.684 0.250 0.739
0.816 0.750 0.239
0.929 0.250 0.489
```

## Properties
VASP energy   -78.72 eV for the cell shown
Space group   No. 62
Energy relative to the elements   -0.22 eV per atom
N(E_F)   1.019 states/eV/atom
Crystal system   orthorhombic

Record 10
Below is crystalline BaCa3Ga at its relaxed geometry, with properties calculated at the PBE level.

Cell and atoms, written as POSCAR:
```
BaCa3Ga
1.0
6.280 0.000 0.000
0.000 6.280 0.000
0.000 0.000 6.280
Ba Ca Ga
1 3 1
direct
0.000 0.000 0.000
0.000 0.000 0.500
0.000 0.500 0.000
0.500 0.000 0.000
0.500 0.500 0.500
```

## Properties
VASP energy   -5.87 eV for the cell shown
Space group   No. 221
Offset from the most stable computed form   5.71 eV/f.u.
Energy relative to the elements   1.02 eV per atom
N(E_F)   0.303 states/eV/atom
Crystal system   cubic

Record 11
Below is crystalline Ba2CaGa at its relaxed geometry, with properties calculated at the PBE level.

Cell and atoms, written as POSCAR:
```
Ba2CaGa
1.0
2.117 1.222 11.965
-2.117 1.222 11.965
0.000 -2.445 11.965
Ba Ca Ga
2 1 1
direct
0.000 0.000 0.000
0.201 0.201 0.201
0.434 0.434 0.434
0.600 0.600 0.600
```

## Properties
VASP energy   -9.03 eV for the cell shown
Space group   No. 160
Energy relative to the elements   -0.04 eV per atom
N(E_F)   1.223 states/eV/atom
Crystal system   trigonal

Record 12
Below is crystalline BaCaGa4 at its relaxed geometry, with properties calculated at the PBE level.

Cell and atoms, written as POSCAR:
```
BaCaGa4
1.0
-2.387 3.973 3.859
2.387 -3.973 3.859
2.387 3.973 -3.859
Ba Ca Ga
1 1 4
direct
0.000 0.000 0.000
0.597 0.097 0.500
0.053 0.729 0.324
0.232 0.411 0.821
0.406 0.729 0.676
0.590 0.411 0.179
```

## Properties
VASP energy   -18.79 eV for the cell shown
Space group   No. 44
Offset from the most stable computed form   0.00 eV/f.u.
Energy relative to the elements   -0.46 eV per atom
N(E_F)   0.188 states/eV/atom
Crystal system   orthorhombic

Record 13
Below is crystalline Ba2CaGa at its relaxed geometry, with properties calculated at the PBE level.

Cell and atoms, written as POSCAR:
```
Ba2CaGa
1.0
4.137 0.000 0.000
0.000 4.137 0.000
0.000 0.000 10.134
Ba Ca Ga
2 1 1
direct
0.000 0.000 0.191
0.000 0.000 0.809
0.500 0.500 0.500
0.500 0.500 0.000
```

## Properties
VASP energy   -9.56 eV for the cell shown
Space group   No. 123
Energy relative to the elements   -0.17 eV per atom
N(E_F)   0.859 states/eV/atom
Crystal system   tetragonal

Record 14
Below is crystalline BaCa2Ga at its relaxed geometry, with properties calculated at the PBE level.

Cell and atoms, written as POSCAR:
```
BaCa2Ga
1.0
3.814 0.000 0.000
0.000 3.814 0.000
0.000 0.000 10.234
Ba Ca Ga
1 2 1
direct
0.000 0.000 0.000
0.500 0.500 0.327
0.500 0.500 0.673
0.000 0.000 0.500
```

## Properties
VASP energy   -9.69 eV for the cell shown
Space group   No. 123
Energy relative to the elements   -0.18 eV per atom
N(E_F)   1.048 states/eV/atom
Crystal system   tetragonal

Record 15
Below is crystalline Ba3CaGa3 at its relaxed geometry, with properties calculated at the PBE level.

Cell and atoms, written as POSCAR:
```
Ba3CaGa3
1.0
2.912 -5.021 0.000
2.912 5.021 0.000
0.000 0.000 16.464
Ba Ca Ga
6 2 6
direct
0.000 0.000 0.250
0.000 0.000 0.750
0.334 0.666 0.612
0.334 0.666 0.888
0.666 0.334 0.112
0.666 0.334 0.388
0.000 0.000 0.000
0.000 0.000 0.500
0.332 0.668 0.095
0.332 0.668 0.405
0.334 0.666 0.250
0.666 0.334 0.750
0.668 0.332 0.595
0.668 0.332 0.905
```

## Properties
VASP energy   -38.44 eV for the cell shown
Space group   No. 63
Energy relative to the elements   -0.34 eV per atom
N(E_F)   0.653 states/eV/atom
Crystal system   orthorhombic

Record 16
Below is crystalline BaCa4Ga4 at its relaxed geometry, with properties calculated at the PBE level.

Cell and atoms, written as POSCAR:
```
BaCa4Ga4
1.0
10.031 0.000 0.000
0.000 10.031 0.000
0.000 0.000 6.057
Ba Ca Ga
2 8 8
direct
0.250 0.250 0.250
0.750 0.750 0.750
0.102 0.645 0.126
0.145 0.898 0.626
0.355 0.602 0.626
0.398 0.855 0.126
0.602 0.145 0.874
0.645 0.398 0.374
0.855 0.102 0.374
0.898 0.355 0.874
0.046 0.587 0.623
0.087 0.954 0.123
0.413 0.546 0.123
0.454 0.913 0.623
0.546 0.087 0.377
0.587 0.454 0.877
0.913 0.046 0.877
0.954 0.413 0.377
```

## Properties
VASP energy   -49.42 eV for the cell shown
Space group   No. 86
Energy relative to the elements   -0.30 eV per atom
N(E_F)   0.822 states/eV/atom
Crystal system   tetragonal

Record 17
Below is crystalline Ba5CaGa4 at its relaxed geometry, with properties calculated at the PBE level.

Cell and atoms, written as POSCAR:
```
Ba5CaGa4
1.0
10.746 -2.292 0.000
10.746 2.292 0.000
-3.419 0.000 8.330
Ba Ca Ga
5 1 4
direct
0.000 0.000 0.000
0.308 0.308 0.899
0.354 0.354 0.468
0.646 0.646 0.532
0.692 0.692 0.101
0.000 0.000 0.500
0.125 0.125 0.813
0.455 0.455 0.244
0.545 0.545 0.756
0.875 0.875 0.187
```

## Properties
VASP energy   -26.47 eV for the cell shown
Space group   No. 12
Energy relative to the elements   -0.27 eV per atom
N(E_F)   0.941 states/eV/atom
Crystal system   monoclinic

Record 18
Below is crystalline Ba2Ca12Ga7 at its relaxed geometry, with properties calculated at the PBE level.

Cell and atoms, written as POSCAR:
```
Ba2Ca12Ga7
1.0
12.817 0.000 0.000
-6.409 11.100 0.000
0.000 0.000 4.802
Ba Ca Ga
2 12 7
direct
0.000 0.000 0.000
0.333 0.667 0.500
0.052 0.274 0.500
0.102 0.703 0.000
0.222 0.948 0.500
0.297 0.399 0.000
0.390 0.178 0.000
0.544 0.434 0.500
0.566 0.110 0.500
0.601 0.898 0.000
0.726 0.778 0.500
0.789 0.610 0.000
0.822 0.211 0.000
0.890 0.456 0.500
0.076 0.448 0.000
0.259 0.215 0.500
0.372 0.924 0.000
0.552 0.628 0.000
0.667 0.333 0.000
0.785 0.044 0.500
0.956 0.741 0.500
```

## Properties
VASP energy   -55.23 eV for the cell shown
Space group   No. 174
Energy relative to the elements   -0.29 eV per atom
N(E_F)   1.246 states/eV/atom
Crystal system   hexagonal

Record 19
Below is crystalline Ba2CaGa at its relaxed geometry, with properties calculated at the PBE level.

Cell and atoms, written as POSCAR:
```
Ba2CaGa
1.0
-5.833 5.833 3.041
5.833 -5.833 3.041
5.833 5.833 -3.041
Ba Ca Ga
4 2 2
direct
0.375 0.244 0.369
0.756 0.125 0.131
0.875 0.006 0.631
0.994 0.625 0.869
0.250 0.750 0.500
0.500 0.500 0.000
0.000 0.000 0.000
0.750 0.250 0.500
```

## Properties
VASP energy   -17.55 eV for the cell shown
Space group   No. 122
Energy relative to the elements   0.02 eV per atom
N(E_F)   1.452 states/eV/atom
Crystal system   tetragonal

Record 20
Below is crystalline BaCa2Ga at its relaxed geometry, with properties calculated at the PBE level.

Cell and atoms, written as POSCAR:
```
BaCa2Ga
1.0
2.032 1.173 11.193
-2.032 1.173 11.193
0.000 -2.347 11.193
Ba Ca Ga
1 2 1
direct
0.000 0.000 0.000
0.227 0.227 0.227
0.773 0.773 0.773
0.500 0.500 0.500
```

## Properties
VASP energy   -9.32 eV for the cell shown
Space group   No. 166
Energy relative to the elements   -0.09 eV per atom
N(E_F)   0.928 states/eV/atom
Crystal system   trigonal

Record 21
Below is crystalline BaCaGa at its relaxed geometry, with properties calculated at the PBE level.

Cell and atoms, written as POSCAR:
```
BaCaGa
1.0
0.000 3.893 3.893
3.893 0.000 3.893
3.893 3.893 0.000
Ba Ca Ga
1 1 1
direct
0.000 0.000 0.000
0.500 0.500 0.500
0.250 0.250 0.250
```

## Properties
VASP energy   -7.49 eV for the cell shown
Space group   No. 216
Offset from the most stable computed form   0.30 eV/f.u.
Energy relative to the elements   -0.18 eV per atom
N(E_F)   1.344 states/eV/atom
Crystal system   cubic

Record 22
Below is crystalline BaCaGa at its relaxed geometry, with properties calculated at the PBE level.

Cell and atoms, written as POSCAR:
```
BaCaGa
1.0
3.936 0.000 0.000
-1.967 7.274 0.000
-0.004 -2.234 7.571
Ba Ca Ga
2 2 2
direct
0.129 0.257 0.070
0.871 0.743 0.930
0.134 0.268 0.561
0.866 0.732 0.439
0.493 0.987 0.291
0.507 0.013 0.709
```

## Properties
VASP energy   -15.58 eV for the cell shown
Space group   No. 2
Offset from the most stable computed form   0.00 eV/f.u.
Energy relative to the elements   -0.28 eV per atom
N(E_F)   0.699 states/eV/atom
Crystal system   triclinic

Record 23
Below is crystalline BaCa3Ga at its relaxed geometry, with properties calculated at the PBE level.

Cell and atoms, written as POSCAR:
```
BaCa3Ga
1.0
5.961 0.000 0.000
0.000 5.961 0.000
0.000 0.000 5.961
Ba Ca Ga
1 3 1
direct
0.000 0.000 0.000
0.000 0.500 0.500
0.500 0.000 0.500
0.500 0.500 0.000
0.500 0.500 0.500
```

## Properties
VASP energy   -11.58 eV for the cell shown
Space group   No. 221
Offset from the most stable computed form   0.00 eV/f.u.
Energy relative to the elements   -0.12 eV per atom
N(E_F)   0.818 states/eV/atom
Crystal system   cubic

Record 24
Below is crystalline BaCaGaGe at its relaxed geometry, with properties calculated at the PBE level.

Cell and atoms, written as POSCAR:
```
BaCaGaGe
1.0
4.279 0.000 0.000
0.000 2.326 6.273
0.000 -2.326 6.273
Ba Ca Ga Ge
1 1 1 1
direct
0.000 0.000 0.000
0.500 0.730 0.730
0.000 0.281 0.281
0.500 0.404 0.404
```

## Properties
VASP energy   -13.65 eV for the cell shown
Space group   No. 38
Offset from the most stable computed form   0.00 eV/f.u.
Energy relative to the elements   -0.52 eV per atom
N(E_F)   0.445 states/eV/atom
Crystal system   orthorhombic

Record 25
Below is crystalline BaCaGaGe at its relaxed geometry, with properties calculated at the PBE level.

Cell and atoms, written as POSCAR:
```
BaCaGaGe
1.0
0.000 3.885 3.885
3.885 0.000 3.885
3.885 3.885 0.000
Ba Ca Ga Ge
1 1 1 1
direct
0.000 0.000 0.000
0.500 0.500 0.500
0.250 0.250 0.250
0.750 0.750 0.750
```

## Properties
VASP energy   -13.02 eV for the cell shown
Space group   No. 216
Offset from the most stable computed form   0.64 eV/f.u.
Energy relative to the elements   -0.36 eV per atom
N(E_F)   0.882 states/eV/atom
Crystal system   cubic